Compound: La4Cd2In
Source: Alexandria via LeMat-Bulk
Functional: PBE-GGA
Structure: optimized geometry

Calculated values
- ΔE_f (eV per atom) = -0.243
- space group = No. 166
- spin magnetization (μB/cell) = 0.00

```
7
Lattice="2.748 1.586 8.775 -2.748 1.586 8.775 0.000 -3.173 8.775" Properties=species:S:1:pos:R:3 pbc="T T T"
La 0.000 0.000 3.059
La 0.000 0.000 9.718
La 0.000 0.000 16.608
La 0.000 0.000 23.267
Cd 0.000 0.000 6.429
Cd 0.000 0.000 19.897
In 0.000 0.000 13.163
```